Entry 1:
DFT (PBE) results for AlOs2W after structural relaxation.

Lattice parameters (Å, degrees): 4.1315 4.1315 13.2473 90.00 90.00 120.00
Space group R3m (No. 160, hexagonal axes)
One atom of each set of equivalent atoms:
Al 0.0000 0.0000 0.0000 [3 per cell]
Os 0.0000 0.0000 0.4133 [3 per cell]
Os 0.0000 0.0000 0.6040 [3 per cell]
W 0.0000 0.0000 0.1996 [3 per cell]

As for the density of states at the Fermi level: 5.65 states/eV/cell. Its formation energy is 184 meV per atom. The total magnetic moment is 0.00 μB per formula unit.

---

Entry 2:
DFT (PBE) results for Zn3HIr after structural relaxation.

Lattice parameters (Å, degrees): 4.8468 4.8468 4.8468 90.00 90.00 90.00
Space group Pm-3m (No. 221)
One atom of each set of equivalent atoms:
Zn 0.0000 0.0000 0.5000 [3 per cell]
H 0.5000 0.5000 0.5000 [1 per cell]
Ir 0.0000 0.0000 0.0000 [1 per cell]

For the uncorrected energy, the calculation gives -2.546 eV/atom. As for the density of states at the Fermi level: 1.22 states/eV/cell. The total magnetic moment is 0.91 μB per formula unit.

---

Entry 3:
DFT (PBE) results for V3MoOsW after structural relaxation.

Lattice parameters (Å, degrees): 6.8224 3.0642 8.7276 90.00 108.56 90.00
Space group P2_1/m (No. 11)
One atom of each set of equivalent atoms:
V 0.1582 0.2500 0.0399 [2 per cell]
V 0.1607 0.2500 0.5400 [2 per cell]
V 0.1660 0.7500 0.2912 [2 per cell]
Mo 0.4993 0.7500 0.6244 [2 per cell]
Os 0.1574 0.7500 0.7896 [2 per cell]
W 0.4953 0.7500 0.1248 [2 per cell]

As for the density of states at the Fermi level: 6.43 states/eV/cell. Its formation energy is -195 meV per atom. The total magnetic moment is 0.00 μB per formula unit.

---

Entry 4:
DFT (PBE) results for SmHo5Sc after structural relaxation.

Lattice parameters (Å, degrees): 9.1657 3.5479 13.6244 90.00 102.69 90.00
Space group P2_1/m (No. 11)
One atom of each set of equivalent atoms:
Sm 0.1123 0.2500 0.1348 [2 per cell]
Ho 0.0077 0.7500 0.3712 [2 per cell]
Ho 0.2023 0.2500 0.8837 [2 per cell]
Ho 0.3300 0.2500 0.5070 [2 per cell]
Ho 0.3489 0.7500 0.7214 [2 per cell]
Ho 0.4179 0.7500 0.0827 [2 per cell]
Sc 0.3511 0.7500 0.3074 [2 per cell]

As for the density of states at the Fermi level: 22.65 states/eV/cell. Its formation energy is 67 meV per atom. The total magnetic moment is 0.01 μB per formula unit.

---

Entry 5:
DFT (PBE) results for La2ZnCoCu after structural relaxation.

Lattice parameters (Å, degrees): 5.1691 5.1691 4.6696 90.00 90.00 90.00
Space group P4/mmm (No. 123)
One atom of each set of equivalent atoms:
La 0.0000 0.5000 0.0000 [2 per cell]
Zn 0.0000 0.0000 0.5000 [1 per cell]
Co 0.5000 0.5000 0.0000 [1 per cell]
Cu 0.5000 0.5000 0.5000 [1 per cell]

As for the density of states at the Fermi level: 4.06 states/eV/cell. Its formation energy is -16 meV per atom. The total magnetic moment is 0.00 μB per formula unit.

---

Entry 6:
DFT (PBE) results for LiSnF2 after structural relaxation.

Lattice parameters (Å, degrees): 3.2766 3.2766 22.4285 90.00 90.00 120.00
Space group R-3m (No. 166, hexagonal axes)
One atom of each set of equivalent atoms:
Li 0.0000 0.0000 0.0000 [3 per cell]
Sn 0.0000 0.0000 0.5000 [3 per cell]
F 0.0000 0.0000 0.0761 [6 per cell]

As for the density of states at the Fermi level: 1.20 states/eV/cell. The energy relative to the elements, uncorrected is -1.881 eV per atom. The total magnetic moment is 0.00 μB per formula unit.